Entry 1:
{
  "formula": "YBeSnIr",
  "functional": "PBE-GGA",
  "state": "optimized geometry",
  "de_polymorph_ev_per_fu": 0.21,
  "cell": [[0.0000, 3.2870, 3.2870], [3.2870, 0.0000, 3.2870], [3.2870, 3.2870, 0.0000]],
  "species": ["Y", "Be", "Sn", "Ir"],
  "frac_coords": [[0.0000, 0.0000, 0.0000], [0.2500, 0.2500, 0.2500], [0.7500, 0.7500, 0.7500], [0.5000, 0.5000, 0.5000]]
}

=====

Entry 2:
{
  "formula": "InTcAgTe2Se",
  "functional": "PBE-GGA",
  "state": "optimized geometry",
  "total_energy_ev_per_atom": -4.231,
  "cell": [[1.9706, -7.2529, 0.0000], [1.9706, 7.2529, 0.0000], [0.0000, 0.0000, 10.2423]],
  "species": ["In", "In", "Tc", "Tc", "Ag", "Ag", "Te", "Te", "Te", "Te", "Se", "Se"],
  "frac_coords": [[0.2500, 0.7500, 0.7500], [0.7500, 0.2500, 0.2500], [0.0000, 0.0000, 0.0000], [0.0000, 0.0000, 0.5000], [0.4652, 0.5348, 0.2500], [0.5348, 0.4652, 0.7500], [0.3646, 0.6354, 0.0283], [0.3646, 0.6354, 0.4717], [0.6354, 0.3646, 0.5283], [0.6354, 0.3646, 0.9717], [0.0805, 0.9195, 0.2500], [0.9195, 0.0805, 0.7500]]
}

=====

| no. | total moment (μB/atom) |
| --- | --- |
| 1 | 0.000 |
| 2 | 0.310 |